! ZnBr2N2 (PBE, optimized geometry); values from VASP
&SYSTEM
  ibrav = 0, nat = 5, ntyp = 3
/
ATOMIC_SPECIES
Zn 65.41 Zn.upf
Br 79.90 Br.upf
N 14.01 N.upf
ATOMIC_POSITIONS angstrom
Zn 0.000 0.000 0.000
Br 2.201 0.000 1.485
Br 3.527 0.000 10.404
N 2.511 0.000 5.515
N 3.218 0.000 6.375
CELL_PARAMETERS angstrom
3.299 -1.899 0.000
3.299 1.899 0.000
-0.870 0.000 11.890
! **Excess energy over the best structure of this formula in the dataset**: 0 meV per atom
! **SG**: C2/m
! **Energy relative to the elements, uncorrected**: -0.476 eV/atom